12
Lattice="4.752 0.000 0.000 0.000 8.502 0.000 0.000 0.000 9.795" Properties=species:S:1:pos:R:3 comment="Na2CaBi2Pb PBE-GGA optimized geometry" delta_e_f_ev_per_atom=-0.41 spacegroup="Pmc2_1, No. 26" magmom_total_mub_per_atom=0.000 pbc="T T T"
Na 2.376 0.535 0.791
Na 0.000 3.119 1.897
Na 2.376 4.786 9.005
Na 0.000 7.370 7.898
Ca 0.000 8.139 4.136
Ca 0.000 3.888 5.659
Bi 0.000 2.431 8.610
Bi 2.376 2.090 3.958
Bi 0.000 6.682 1.185
Bi 2.376 6.341 5.838
Pb 2.376 1.078 6.965
Pb 2.376 5.329 2.830

---

4
Lattice="8.627 -0.143 -0.084 8.080 3.028 -0.084 8.080 1.395 2.689" Properties=species:S:1:pos:R:3 comment="CrAg2Cl PBE-GGA optimized geometry" spacegroup="R-3m, No. 166" magmom_total_mub_per_atom=1.020 formation_energy_uncorrected_mev_per_atom=256 e_above_lowest_polymorph_kj_per_mol_fu=75 pbc="T T T"
Cr 18.590 3.209 1.890
Ag 24.773 4.277 2.518
Ag 12.407 2.142 1.261
Cl 6.197 1.070 0.630

---

11
Lattice="-0.621 -6.607 -5.581 7.174 0.136 -0.959 -2.879 -4.126 5.205" Properties=species:S:1:pos:R:3 comment="LaNd7Tm3 PBE-GGA optimized geometry" delta_e_f_ev_per_atom=0.19 spacegroup="P3m1, No. 156" magmom_total_mub_per_atom=0.000 e_above_lowest_polymorph_kj_per_mol_fu=0 pbc="T T T"
La 0.199 -5.612 0.695
Nd -1.270 -4.113 3.591
Nd 0.171 -2.047 0.986
Nd 3.746 -2.109 0.400
Nd 5.212 -3.619 -2.503
Nd 1.627 -3.687 -2.024
Nd 3.773 -5.681 0.098
Nd 2.320 -4.045 3.111
Tm 1.665 -7.174 -2.256
Tm 3.101 -5.116 -4.851
Tm 5.243 -7.106 -2.734